<P>
## SnRh2O2 (PBE)

Data for a relaxed structure of SnRh2O2.

Space-group type ... No. 127
Calculated density ... 7.84 g/cm3
Fermi-level density of states ... 7.54 states/eV per cell

Lattice parameters (Å, degrees): 7.2834 7.2834 2.8482 90.00 90.00 90.00
Fractional positions:
O 0.2545 0.2455 0.5000
Rh 0.3800 0.8800 0.0000
Sn 0.0000 0.0000 0.0000
Sn 0.5000 0.5000 0.0000
O 0.7545 0.2545 0.5000
O 0.7455 0.7545 0.5000
Rh 0.6200 0.1200 0.0000
O 0.2455 0.7455 0.5000
Rh 0.1200 0.3800 0.0000
Rh 0.8800 0.6200 0.0000

<Q>
## SnRh2O2 (PBE)

Data for a relaxed structure of SnRh2O2.

Space-group type ... No. 139
Calculated density ... 8.80 g/cm3
Fermi-level density of states ... 5.44 states/eV per cell

Lattice parameters (Å, degrees): 3.6021 3.6021 5.7753 71.83 71.83 90.00
Fractional positions:
O 0.7500 0.2500 0.5000
Sn 0.0000 0.0000 0.0000
Rh 0.6290 0.6290 0.7421
O 0.2500 0.7500 0.5000
Rh 0.3710 0.3710 0.2579

The energetic minimum among the shown structures is <Q>; the next structure lies 13.7 kJ/mol of atoms above.